Entry 1:
VASP calculation (GGA-PBEsol) on an optimized crystal structure of ZrMnAl2.

Cell: 3.0740 3.0740 6.5843 Å, 90.00 90.00 90.00°
Closest atoms and distances in Å follow each position.
Element x y z (fractional)
Mn: 0.0000 0.0000 0.4679  4 Al 2.49, 4 Zr 2.74
Zr: 0.5000 0.5000 0.7205  4 Mn 2.74, 5 Al 2.88-2.98
Al: 0.0000 0.0000 0.0291  4 Al 2.74, 1 Mn 2.89, 4 Zr 2.98
Al: 0.5000 0.5000 0.2824  4 Mn 2.49, 4 Al 2.74

Results
- magnetic moment (μB per formula unit) = 0.9
- formation energy from the elements (eV/atom) = -0.174
- crystal system = tetragonal


Entry 2:
VASP calculation (GGA-PBEsol) on an optimized crystal structure of MnFe2Hg.

Cell: 2.8171 2.8171 8.4736 Å, 80.43 80.43 60.00°
Closest atoms and distances in Å follow each position.
Element x y z (fractional)
Mn: 0.2590 0.2590 0.2231  3 Fe 2.53, 6 Mn 2.82
Fe: 0.0032 0.0032 0.9905  3 Fe 2.38, 3 Mn 2.53
Fe: 0.7397 0.7397 0.7810  3 Fe 2.38
Hg: 0.4982 0.4982 0.5053  3 Fe 2.81, 6 Hg 2.82, 3 Mn 2.86

Results
- magnetic moment (μB per formula unit) = 8.4
- formation energy from the elements (eV/atom) = 0.481
- crystal system = trigonal


Entry 3:
VASP calculation (GGA-PBEsol) on an optimized crystal structure of ScMnIn2.

Cell: 3.1059 3.1059 7.9008 Å, 90.00 90.00 90.00°
Closest atoms and distances in Å follow each position.
Element x y z (fractional)
Sc: 0.5000 0.5000 0.5000  8 In 3.08, 4 Sc 3.11
In: 0.0000 0.0000 0.2263  4 Mn 2.83, 4 Sc 3.08, 4 In 3.11
In: 0.0000 0.0000 0.7737  4 Mn 2.83, 4 Sc 3.08, 4 In 3.11
Mn: 0.5000 0.5000 0.0000  8 In 2.83, 4 Mn 3.11

Results
- magnetic moment (μB per formula unit) = 3.8
- formation energy from the elements (eV/atom) = -0.108
- crystal system = tetragonal


Entry 4:
VASP calculation (GGA-PBEsol) on an optimized crystal structure of K2SiO3.

Cell: 6.2518 12.7830 15.0987 Å, 90.00 96.19 90.00°
Closest atoms and distances in Å follow each position.
Element x y z (fractional)
O: 0.3822 0.2683 0.1564  1 Si 1.61
O: 0.9840 0.0618 0.3848  1 Si 1.62
O: 0.7945 0.5400 0.5814  1 Si 1.62
O: 0.9507 0.7358 0.5828  2 Si 1.69
O: 0.2871 0.0854 0.8529  1 Si 1.61
O: 0.9675 0.1944 0.1621  1 Si 1.62
O: 0.2945 0.9600 0.0814  1 Si 1.62
O: 0.2743 0.1692 0.3005  2 Si 1.69
O: 0.0325 0.8056 0.8379  1 Si 1.62
O: 0.8658 0.3727 0.9739  1 Si 1.60
O: 0.7055 0.0400 0.9186  1 Si 1.62
O: 0.8870 0.6430 0.7374  2 Si 1.69
O: 0.5325 0.6944 0.3379  1 Si 1.62
O: 0.2055 0.4600 0.4186  1 Si 1.62
O: 0.4507 0.7642 0.0828  2 Si 1.69
O: 0.5493 0.2358 0.9172  2 Si 1.69
O: 0.7743 0.3308 0.8005  2 Si 1.69
O: 0.4675 0.3056 0.6621  1 Si 1.62
O: 0.1130 0.3570 0.2626  2 Si 1.69
O: 0.6178 0.7317 0.8436  1 Si 1.61
O: 0.6342 0.8727 0.5261  1 Si 1.60
O: 0.0493 0.2642 0.4172  2 Si 1.69
O: 0.3658 0.1273 0.4739  1 Si 1.60
O: 0.1178 0.7683 0.3436  1 Si 1.61
O: 0.0160 0.9382 0.6152  1 Si 1.62
O: 0.5160 0.5618 0.1152  1 Si 1.62
O: 0.6130 0.1430 0.7626  2 Si 1.69
O: 0.1342 0.6273 0.0261  1 Si 1.60
O: 0.7871 0.4146 0.3529  1 Si 1.61
O: 0.7129 0.9146 0.1471  1 Si 1.61
O: 0.2129 0.5854 0.6471  1 Si 1.61
O: 0.3870 0.8570 0.2374  2 Si 1.69
O: 0.2257 0.6692 0.1995  2 Si 1.69
O: 0.8822 0.2317 0.6564  1 Si 1.61
O: 0.4840 0.4382 0.8848  1 Si 1.62
O: 0.7257 0.8308 0.6995  2 Si 1.69
K: 0.7572 0.0846 0.5279  5 O 2.55-2.82
K: 0.7507 0.3813 0.1391  5 O 2.67-2.79
K: 0.0652 0.9953 0.2200  6 O 2.57-2.79
K: 0.7428 0.5846 0.9721  5 O 2.55-2.82
K: 0.2493 0.6187 0.8609  5 O 2.67-2.79
K: 0.1019 0.3869 0.5818  6 O 2.68-2.93
K: 0.2572 0.4154 0.0279  5 O 2.55-2.82
K: 0.8981 0.6131 0.4182  6 O 2.68-2.93
K: 0.5735 0.3583 0.4979  4 O 2.72-2.92
K: 0.4348 0.4953 0.2800  6 O 2.57-2.79
K: 0.8120 0.6985 0.2000  6 O 2.61-2.92
K: 0.3120 0.8015 0.7000  6 O 2.61-2.92
K: 0.7493 0.8813 0.3609  5 O 2.67-2.79
K: 0.0735 0.1417 0.9979  4 O 2.72-2.92
K: 0.6880 0.1985 0.3000  6 O 2.61-2.92
K: 0.2507 0.1187 0.6391  5 O 2.67-2.79
K: 0.9348 0.0047 0.7800  6 O 2.57-2.79
K: 0.4265 0.6417 0.5021  4 O 2.72-2.92
K: 0.5652 0.5047 0.7200  6 O 2.57-2.79
K: 0.6019 0.1131 0.0818  6 O 2.68-2.93
K: 0.9265 0.8583 0.0021  4 O 2.72-2.92
K: 0.3981 0.8869 0.9182  6 O 2.68-2.93
K: 0.1880 0.3015 0.8000  6 O 2.61-2.92
K: 0.2428 0.9154 0.4721  5 O 2.55-2.82
Si: 0.6713 0.3500 0.8980  4 O 1.60-1.69
Si: 0.5371 0.1192 0.8646  4 O 1.61-1.69
Si: 0.1832 0.2453 0.2133  4 O 1.61-1.69
Si: 0.4629 0.8808 0.1354  4 O 1.61-1.69
Si: 0.8287 0.8500 0.6020  4 O 1.60-1.69
Si: 0.9629 0.6192 0.6354  4 O 1.61-1.69
Si: 0.3168 0.7453 0.2867  4 O 1.61-1.69
Si: 0.0371 0.3808 0.3646  4 O 1.61-1.69
Si: 0.1713 0.1500 0.3980  4 O 1.60-1.69
Si: 0.8168 0.7547 0.7867  4 O 1.61-1.69
Si: 0.6832 0.2547 0.7133  4 O 1.61-1.69
Si: 0.3287 0.6500 0.1020  4 O 1.60-1.69

Results
- magnetic moment (μB per formula unit) = 0.0
- formation energy (no corrections) (meV/atom) = -2348
- crystal system = monoclinic


Entry 5:
VASP calculation (GGA-PBEsol) on an optimized crystal structure of KWSe.

Cell: 2.7833 5.0222 5.0222 Å, 120.00 90.00 90.00°
Closest atoms and distances in Å follow each position.
Element x y z (fractional)
Se: 0.0000 0.3333 0.6667  2 Se 2.78, 3 W 2.90
K: 0.5000 0.0000 0.0000  2 K 2.78
W: 0.0000 0.6667 0.3333  2 W 2.78, 3 Se 2.90

Results
- magnetic moment (μB per formula unit) = 1.4
- formation energy (no corrections) (meV/atom) = 1169
- crystal system = hexagonal


Entry 6:
VASP calculation (GGA-PBEsol) on an optimized crystal structure of KSeO2F.

Cell: 4.4397 6.0451 7.1212 Å, 90.00 108.64 90.00°
Closest atoms and distances in Å follow each position.
Element x y z (fractional)
O: 0.8581 0.9704 0.2063  1 Se 1.66
O: 0.1419 0.4704 0.7937  1 Se 1.66
O: 0.1419 0.0296 0.7937  1 Se 1.66
O: 0.8581 0.5296 0.2063  1 Se 1.66
Se: 0.0668 0.2500 0.6467  2 O 1.66
Se: 0.9332 0.7500 0.3533  2 O 1.66
K: 0.6609 0.7500 0.8294  6 O 2.80-2.87, 1 F 2.81
K: 0.3391 0.2500 0.1706  6 O 2.80-2.87, 1 F 2.81
F: 0.4568 0.2500 0.5819  1 Se 1.93
F: 0.5432 0.7500 0.4181  1 Se 1.93

Results
- magnetic moment (μB per formula unit) = 0.0
- formation energy (no corrections) (meV/atom) = -1562
- crystal system = monoclinic


Entry 7:
VASP calculation (GGA-PBEsol) on an optimized crystal structure of AlAsBr2F.

Cell: 4.8298 4.8298 4.9955 Å, 90.00 90.00 90.00°
Closest atoms and distances in Å follow each position.
Element x y z (fractional)
As: 0.0000 0.0000 0.5000  2 Al 2.50
Br: 0.5000 0.0000 0.0000  2 Al 2.41
Br: 0.0000 0.5000 0.0000  2 Al 2.41
Al: 0.0000 0.0000 0.0000  4 Br 2.41, 2 As 2.50
F: 0.5000 0.5000 0.5000  4 As 3.42, 8 Br 3.47

Results
- magnetic moment (μB per formula unit) = 0.9
- formation energy (no corrections) (meV/atom) = -142
- crystal system = tetragonal


Entry 8:
VASP calculation (GGA-PBEsol) on an optimized crystal structure of HfIr2S.

Cell: 5.1009 5.1009 7.2156 Å, 110.70 110.70 90.00°
Closest atoms and distances in Å follow each position.
Element x y z (fractional)
Ir: 0.4492 0.8750 0.2500  2 S 2.21
Ir: 0.1250 0.1992 0.7500  2 S 2.21
Ir: 0.6250 0.5508 0.7500  2 S 2.21
Ir: 0.8008 0.3750 0.2500  2 S 2.21
S: 0.5000 0.5000 0.0000  4 Ir 2.21
S: 0.7500 0.2500 0.5000  4 Ir 2.21
Hf: 0.2500 0.7500 0.5000  4 Ir 2.61
Hf: 0.0000 0.0000 0.0000  4 Ir 2.61

Results
- magnetic moment (μB per formula unit) = 0.0
- formation energy (no corrections) (meV/atom) = -99
- crystal system = tetragonal